1.
A geometry-optimized SmHfCd structure, computed with PBE.

Summary:
Distance to the lowest polymorph of the same formula = 182 meV per atom
Symmetry = No. 216
Energy relative to the elements = 0.9281 eV per atom
Volume = 90 Å³ per cell
Spin magnetization = 0.6 μB/cell

```
SmHfCd
1.0
0.000 3.552 3.552
3.552 0.000 3.552
3.552 3.552 0.000
Sm Hf Cd
1 1 1
Cartesian
0.000 0.000 0.000
1.776 1.776 1.776
5.328 5.328 5.328
```

2.
A geometry-optimized LuGaCuTc structure, computed with PBE.

Summary:
Distance to the lowest polymorph of the same formula = 0 meV per atom
Symmetry = No. 216
Volume = 65 Å³ per cell
Spin magnetization = 0.0 μB/cell

```
LuGaCuTc
1.0
0.000 3.197 3.197
3.197 0.000 3.197
3.197 3.197 0.000
Lu Ga Cu Tc
1 1 1 1
Cartesian
0.000 0.000 0.000
3.197 3.197 3.197
4.796 4.796 4.796
1.599 1.599 1.599
```

3.
A geometry-optimized TbSmPt structure, computed with PBE.

Summary:
Symmetry = No. 216
Energy relative to the elements = -0.0773 eV per atom
Volume = 78 Å³ per cell
Spin magnetization = 0.0 μB/cell

```
TbSmPt
1.0
0.000 3.394 3.394
3.394 0.000 3.394
3.394 3.394 0.000
Tb Sm Pt
1 1 1
Cartesian
0.000 0.000 0.000
5.092 5.092 5.092
3.394 3.394 3.394
```

4.
A geometry-optimized ZrTlTcNi structure, computed with PBE.

Summary:
Symmetry = No. 216
Electronic total energy = -6.63 eV per atom
Volume = 69 Å³ per cell
Spin magnetization = 0.0 μB/cell

```
ZrTlTcNi
1.0
0.000 3.253 3.253
3.253 0.000 3.253
3.253 3.253 0.000
Zr Tl Tc Ni
1 1 1 1
Cartesian
0.000 0.000 0.000
3.253 3.253 3.253
1.627 1.627 1.627
4.880 4.880 4.880
```